Compound: RbTlCoO4
Source: Alexandria via LeMat-Bulk
Functional: PBE+U
Structure: relaxed

abc: 5.890 6.119 7.440
angles: 90.00 107.61 90.00
Space group P2_1/m (No. 11)
Inequivalent atoms, fractional coordinates:
Rb  0.210  0.250  0.433 [2 per cell]
Tl  0.314  0.250  0.959 [2 per cell]
Co  0.242  0.750  0.163 [2 per cell]
O  0.028  0.750  0.948 [2 per cell]
O  0.041  0.750  0.294 [2 per cell]
O  0.451  0.523  0.184 [4 per cell]

Properties
Uncorrected energy ... -67.96 eV/cell
N(E_F) ... 0.8 states/eV per cell
Crystal system ... monoclinic
V ... 18.3 Å³/atom
Total magnetization ... 6.00 μB/cell